## 1
Crystalline ThAlZn3 at its relaxed geometry. Source: Alexandria, functional PBE-GGA.

* size of the total moment: 0.00 μB/f.u.

The structure in POSCAR format:
```
ThAlZn3
1.0
-4.422 -0.563 4.450
4.742 -4.137 -0.269
6.396 6.862 7.224
Th Al Zn
4 4 12
Direct
0.333 0.667 0.250 Th
0.667 0.333 0.750 Th
0.000 0.000 0.500 Th
0.000 0.000 0.000 Th
0.667 0.333 0.142 Al
0.333 0.667 0.642 Al
0.333 0.667 0.858 Al
0.667 0.333 0.358 Al
0.130 0.261 0.750 Zn
0.261 0.130 0.250 Zn
0.870 0.130 0.250 Zn
0.130 0.870 0.750 Zn
0.739 0.870 0.750 Zn
0.870 0.739 0.250 Zn
0.500 0.500 0.500 Zn
0.500 0.000 0.000 Zn
0.500 0.500 0.000 Zn
0.500 0.000 0.500 Zn
0.000 0.500 0.500 Zn
0.000 0.500 0.000 Zn
```

=====

## 2
Crystalline ThAlZn3 at its relaxed geometry. Source: Alexandria, functional PBE-GGA.

* size of the total moment: 0.00 μB/f.u.

The structure in POSCAR format:
```
ThAlZn3
1.0
4.041 -0.003 1.397
-0.485 4.012 1.401
0.174 0.191 6.049
Th Al Zn
1 1 3
Direct
0.401 0.204 0.903 Th
0.018 0.822 0.670 Al
0.654 0.956 0.399 Zn
0.153 0.457 0.399 Zn
0.782 0.586 0.140 Zn
```

=====

Going by the energies, 2 is most stable and the next is 30.3 kJ/mol of atoms up.

=====

## 1
Crystalline Th4AlZn at its relaxed geometry. Source: Alexandria, functional PBE-GGA.

* size of the total moment: 0.00 μB/f.u.

The structure in POSCAR format:
```
Th4AlZn
1.0
5.942 -0.418 -1.435
-3.763 4.617 -1.435
0.217 0.418 6.109
Th Al Zn
4 1 1
Direct
0.592 0.092 0.183 Th
0.908 0.408 0.817 Th
0.092 0.908 0.500 Th
0.408 0.592 0.500 Th
0.000 0.000 0.000 Al
0.500 0.500 0.000 Zn
```

=====

## 2
Crystalline Th4AlZn at its relaxed geometry. Source: Alexandria, functional PBE-GGA.

* size of the total moment: 0.00 μB/f.u.

The structure in POSCAR format:
```
Th4AlZn
1.0
7.452 0.000 0.000
0.000 7.452 0.000
-3.726 -3.726 6.101
Th Al Zn
8 2 2
Direct
0.477 0.977 0.267 Th
0.977 0.790 0.267 Th
0.290 0.477 0.267 Th
0.710 0.523 0.733 Th
0.023 0.210 0.733 Th
0.523 0.023 0.733 Th
0.210 0.710 0.733 Th
0.790 0.290 0.267 Th
0.500 0.500 0.000 Al
0.000 0.000 0.000 Al
0.250 0.250 0.500 Zn
0.750 0.750 0.500 Zn
```

=====

Going by the energies, 1 is most stable and the next is 13.1 kJ/mol of atoms up.

=====

## 1
Crystalline Th2AlZn6 at its relaxed geometry. Source: Alexandria, functional PBE-GGA.

* size of the total moment: 0.00 μB/f.u.

The structure in POSCAR format:
```
Th2AlZn6
1.0
-1.544 3.518 2.704
-3.298 1.765 -4.179
-3.034 -6.948 3.224
Th Al Zn
2 1 6
Direct
0.890 0.890 0.780 Th
0.110 0.110 0.220 Th
0.000 0.500 0.000 Al
0.699 0.934 0.398 Zn
0.301 0.066 0.602 Zn
0.301 0.536 0.602 Zn
0.500 0.252 0.000 Zn
0.500 0.748 0.000 Zn
0.699 0.464 0.398 Zn
```

=====

## 2
Crystalline Th2AlZn6 at its relaxed geometry. Source: Alexandria, functional PBE-GGA.

* size of the total moment: 0.00 μB/f.u.

The structure in POSCAR format:
```
Th2AlZn6
1.0
-4.785 1.434 3.101
3.327 -4.552 1.665
3.198 3.543 3.295
Th Al Zn
2 1 6
Direct
0.667 0.333 0.849 Th
0.333 0.667 0.151 Th
0.000 0.000 0.000 Al
0.821 0.179 0.340 Zn
0.359 0.179 0.340 Zn
0.821 0.641 0.340 Zn
0.179 0.821 0.660 Zn
0.641 0.821 0.660 Zn
0.179 0.359 0.660 Zn
```

=====

Going by the energies, 2 is most stable and the next is 26.1 kJ/mol of atoms up.

=====

## 1
Crystalline ThZr2Al at its relaxed geometry. Source: Alexandria, functional PBE-GGA.

* size of the total moment: 0.00 μB/f.u.

The structure in POSCAR format:
```
ThZr2Al
1.0
-1.486 -4.036 -0.506
4.092 -1.684 1.412
-1.513 0.007 4.392
Zr Th Al
2 1 1
Direct
0.000 0.000 0.500 Zr
0.000 0.500 0.000 Zr
0.500 0.500 0.500 Th
0.500 0.000 0.000 Al
```

=====

## 2
Crystalline ThZr2Al at its relaxed geometry. Source: Alexandria, functional PBE-GGA.

* size of the total moment: 0.00 μB/f.u.

The structure in POSCAR format:
```
ThZr2Al
1.0
-2.726 -2.368 -0.299
2.320 -2.522 -1.176
1.103 -2.117 6.711
Zr Th Al
2 1 1
Direct
0.000 0.000 0.784 Zr
0.000 0.000 0.216 Zr
0.500 0.500 0.500 Th
0.500 0.500 0.000 Al
```

=====

Going by the energies, 1 is most stable and the next is 4.1 kJ/mol of atoms up.

=====

## 1
Crystalline ThZrAl at its relaxed geometry. Source: Alexandria, functional PBE-GGA.

* size of the total moment: 0.00 μB/f.u.

The structure in POSCAR format:
```
ThZrAl
1.0
3.279 0.000 0.000
0.000 3.279 0.000
-1.640 -1.640 6.740
Zr Th Al
1 1 1
Direct
0.315 0.315 0.630 Zr
0.008 0.008 0.015 Th
0.677 0.677 0.354 Al
```

=====

## 2
Crystalline ThZrAl at its relaxed geometry. Source: Alexandria, functional PBE-GGA.

* size of the total moment: 0.00 μB/f.u.

The structure in POSCAR format:
```
ThZrAl
1.0
4.436 0.000 0.000
0.000 3.258 0.000
0.000 1.629 10.077
Al Zr Th
2 2 2
Direct
0.250 0.100 0.800 Al
0.750 0.900 0.200 Al
0.250 0.453 0.093 Zr
0.750 0.547 0.907 Zr
0.750 0.696 0.608 Th
0.250 0.304 0.392 Th
```

=====

## 3
Crystalline ThZrAl at its relaxed geometry. Source: Alexandria, functional PBE-GGA.

* size of the total moment: 0.00 μB/f.u.

The structure in POSCAR format:
```
ThZrAl
1.0
-1.229 1.755 -2.340
-4.052 -3.064 -0.170
-0.012 4.063 3.054
Zr Th Al
1 1 1
Direct
0.168 0.333 0.667 Zr
0.166 0.000 0.000 Th
0.666 0.667 0.333 Al
```

=====

Going by the energies, 1 is most stable and the next is 7.9 kJ/mol of atoms up.

=====

## 1
Crystalline Ti4Al5 at its relaxed geometry. Source: Alexandria, functional PBE-GGA.

* size of the total moment: 0.00 μB/f.u.

The structure in POSCAR format:
```
Ti4Al5
1.0
5.386 0.000 0.000
0.000 6.843 -3.951
0.000 0.000 7.902
Ti Al
8 10
Direct
0.000 0.000 0.000 Ti
0.500 0.000 0.000 Ti
0.750 0.357 0.357 Ti
0.750 0.000 0.643 Ti
0.750 0.643 0.000 Ti
0.250 0.643 0.643 Ti
0.250 0.000 0.357 Ti
0.250 0.357 0.000 Ti
0.750 0.694 0.694 Al
0.750 0.000 0.306 Al
0.750 0.306 0.000 Al
0.250 0.306 0.306 Al
0.250 0.000 0.694 Al
0.250 0.694 0.000 Al
0.000 0.667 0.333 Al
0.500 0.333 0.667 Al
0.000 0.333 0.667 Al
0.500 0.667 0.333 Al
```

=====

## 2
Crystalline Ti4Al5 at its relaxed geometry. Source: Alexandria, functional PBE-GGA.

* size of the total moment: 0.00 μB/f.u.

The structure in POSCAR format:
```
Ti4Al5
1.0
3.836 0.000 0.000
1.918 6.166 0.000
1.918 0.000 6.166
Ti Al
4 5
Direct
0.178 0.322 0.322 Ti
0.500 0.678 0.322 Ti
0.500 0.322 0.678 Ti
0.822 0.678 0.678 Ti
0.500 0.000 0.000 Al
0.170 0.660 0.000 Al
0.170 0.000 0.660 Al
0.830 0.000 0.340 Al
0.830 0.340 0.000 Al
```

=====

Going by the energies, 2 is most stable and the next is 7.9 kJ/mol of atoms up.